A geometry-optimized VSb3Se6 structure. Source: the Alexandria database, functional PBE.

The structure in POSCAR format:
```
VSb3Se6
1.0
-0.0970 -3.2831 1.8844
10.5443 2.2531 4.4679
-13.2789 4.8804 7.8193
Sb V Se
6 2 12
direct
0.7500 0.6984 0.4011
0.7500 0.2152 0.2373
0.2500 0.5702 0.1314
0.7500 0.4298 0.8686
0.2500 0.7848 0.7627
0.2500 0.3016 0.5989
0.2500 0.9969 0.3257
0.7500 0.0031 0.6743
0.2500 0.2520 0.3633
0.2500 0.0332 0.8042
0.7500 0.3864 0.0457
0.7500 0.9668 0.1958
0.7500 0.4835 0.7178
0.2500 0.8933 0.5447
0.2500 0.6136 0.9543
0.2500 0.1901 0.7099
0.7500 0.8099 0.2901
0.2500 0.5165 0.2822
0.7500 0.1067 0.4553
0.7500 0.7480 0.6367
```

Values from the calculation:
The calculation puts the uncorrected formation energy at -0.240 eV per atom. As for the crystal system: monoclinic. The symmetry is No. 11. The calculation puts the total magnetization at 4.02 μB per cell.